# 1
# Pr8OsPd3Br4 | Alexandria via LeMat-Bulk | GGA-PBE | relaxed
# E_form (uncorrected)	-0.950	eV per atom
data_Pr8OsPd3Br4
_symmetry_space_group_name_H-M 'P 1'
_symmetry_Int_Tables_number 1
_symmetry_space_group_name_Hall 'P 1'
_cell_length_a 9.2507
_cell_length_b 9.2507
_cell_length_c 9.2507
_cell_angle_alpha 54.30
_cell_angle_beta 54.30
_cell_angle_gamma 54.30
loop_
_atom_site_label
_atom_site_type_symbol
_atom_site_fract_x
_atom_site_fract_y
_atom_site_fract_z
_atom_site_occupancy
Pr1 Pr 0.2328 0.2328 0.2328 1
Pr2 Pr 0.2454 0.7275 0.7275 1
Pr3 Pr 0.2725 0.2725 0.7546 1
Pr4 Pr 0.2725 0.7546 0.2725 1
Pr5 Pr 0.7275 0.2454 0.7275 1
Pr6 Pr 0.7275 0.7275 0.2454 1
Pr7 Pr 0.7546 0.2725 0.2725 1
Pr8 Pr 0.7672 0.7672 0.7672 1
Os1 Os 0.5000 0.5000 0.5000 1
Pd1 Pd 0.0000 0.0000 0.5000 1
Pd2 Pd 0.0000 0.5000 0.0000 1
Pd3 Pd 0.5000 0.0000 0.0000 1
Br1 Br 0.0000 0.0000 0.0000 1
Br2 Br 0.0000 0.5000 0.5000 1
Br3 Br 0.5000 0.0000 0.5000 1
Br4 Br 0.5000 0.5000 0.0000 1

# 2
# HoPdAu | Alexandria via LeMat-Bulk | GGA-PBE | relaxed
# ΔE to the lowest computed polymorph	11.9	kJ/mol of formula units
data_HoPdAu
_symmetry_space_group_name_H-M 'P 1'
_symmetry_Int_Tables_number 1
_symmetry_space_group_name_Hall 'P 1'
_cell_length_a 4.9076
_cell_length_b 4.9076
_cell_length_c 5.6867
_cell_angle_alpha 90.00
_cell_angle_beta 90.00
_cell_angle_gamma 118.71
loop_
_atom_site_label
_atom_site_type_symbol
_atom_site_fract_x
_atom_site_fract_y
_atom_site_fract_z
_atom_site_occupancy
Ho1 Ho 0.1621 0.8379 0.7500 1
Ho2 Ho 0.8379 0.1621 0.2500 1
Pd1 Pd 0.1773 0.8227 0.2500 1
Pd2 Pd 0.8227 0.1773 0.7500 1
Au1 Au 0.5000 0.5000 0.0000 1
Au2 Au 0.5000 0.5000 0.5000 1

| no. | magnetization (μB/atom) | total energy (eV for the cell shown) |
| --- | --- | --- |
| 1 | 0.000 | -86.9 |
| 2 | 0.000 | -31.0 |